# Ac3Mg7Cd4 (PBE, relaxed)
data_Ac3Mg7Cd4
_chemical_formula_sum 'Ac3 Mg7 Cd4'
_space_group_name_H-M_alt 'P 1'
_space_group_IT_number 1
_space_group_name_Hall 'P 1'
_cell_length_a 5.087
_cell_length_b 9.332
_cell_length_c 9.418
_cell_angle_alpha 65.71
_cell_angle_beta 74.33
_cell_angle_gamma 74.18
loop_
_atom_site_label
_atom_site_fract_x
_atom_site_fract_y
_atom_site_fract_z
Ac1 0.295 0.201 0.210
Ac2 0.705 0.799 0.790
Ac3 0.000 0.500 0.500
Mg1 0.336 0.811 0.518
Mg2 0.498 0.184 0.821
Mg3 0.853 0.367 0.928
Mg4 0.664 0.189 0.482
Mg5 0.147 0.633 0.072
Mg6 0.000 0.000 0.000
Mg7 0.502 0.816 0.179
Cd1 0.655 0.481 0.209
Cd2 0.345 0.519 0.791
Cd3 0.867 0.917 0.348
Cd4 0.133 0.083 0.652
# ΔE_f (meV per atom): -201.2
# Magnetization (μB per cell): 0.0
# Raw total energy (eV/atom): -2.14
# Crystal system: monoclinic